Pm2ErSc: optimized geometry, PBE.

a b c (Å): 3.5416 3.5416 34.0755
angles (deg): 90.00 90.00 120.00
With the nearest neighbours (Å) after each atom.
Element x y z (fractional)
1 Pm 0.0000 0.0000 0.0000  3 Sc 3.42, 6 Pm 3.54, 3 Er 3.60
2 Pm 0.0000 0.0000 0.1608  3 Sc 3.42, 6 Pm 3.54, 3 Er 3.56
3 Pm 0.3333 0.6667 0.6667  3 Sc 3.42, 6 Pm 3.54, 3 Er 3.60
4 Pm 0.3333 0.6667 0.8275  3 Sc 3.42, 6 Pm 3.54, 3 Er 3.56
5 Pm 0.6667 0.3333 0.3333  3 Sc 3.42, 6 Pm 3.54, 3 Er 3.60
6 Pm 0.6667 0.3333 0.4942  3 Sc 3.42, 6 Pm 3.54, 3 Er 3.56
7 Er 0.0000 0.0000 0.5798  6 Er 3.54, 6 Pm 3.56-3.60
8 Er 0.3333 0.6667 0.2464  6 Er 3.54, 6 Pm 3.56-3.60
9 Er 0.6667 0.3333 0.9131  6 Er 3.54, 6 Pm 3.56-3.60
10 Sc 0.0000 0.0000 0.7470  6 Pm 3.42, 6 Sc 3.54
11 Sc 0.3333 0.6667 0.4137  6 Pm 3.42, 6 Sc 3.54
12 Sc 0.6667 0.3333 0.0803  6 Pm 3.42, 6 Sc 3.54

## Properties
Symmetry: R3m
Calculated volume (Å³/f.u.): 123.38
DFT total energy (eV/atom): -5.05
E above lowest polymorph (meV per atom): 11.7
Mass density (g/cm3): 6.76
Energy relative to the elements (eV per atom): 0.05
DOS(E_F) (states/eV/atom): 1.57